Density functional theory data (PBEsol) for a relaxed structure of Y2MgSb.

Properties
SG	No. 139
ΔE_f (raw)	-527	meV/atom
magnetization	0.0006	μB/atom
ΔE to the lowest computed polymorph	0.088	eV per atom

Lattice parameters (Å, degrees): 4.664 4.664 5.689 114.20 114.20 90.00
Fractional coordinates of all 4 atoms:
Mg  0.000  0.000  0.000
Sb  0.500  0.500  0.000
Y  0.750  0.250  0.500
Y  0.250  0.750  0.500